The following is a DFT calculation (GGA-PBE) of crystalline Dy3Y2Th4 at its relaxed geometry.

```
Dy3Y2Th4
1.0
7.541 -2.521 0.000
7.541 2.521 0.000
-2.583 0.000 7.604
Dy Y Th
3 2 4
Cartesian
0.000 0.000 0.000
0.008 0.000 5.104
12.490 0.000 2.500
4.932 0.000 5.077
7.566 0.000 2.528
2.513 0.000 2.532
2.413 0.000 7.576
10.086 0.000 0.028
9.986 0.000 5.073
```

Values from the calculation:
**Energy of formation from the pure elements**: 0.8 kcal/mol of atoms
**SG**: C2/m (12)


The following is a DFT calculation (GGA-PBE) of crystalline CaZnCu3 at its relaxed geometry.

```
CaZnCu3
1.0
6.061 0.000 0.000
-3.030 5.249 0.000
0.000 0.000 11.341
Ca Zn Cu
4 4 12
Cartesian
0.000 0.000 0.000
0.000 0.000 5.671
0.000 3.499 2.835
3.030 1.750 8.506
0.000 3.499 7.279
0.000 3.499 9.733
3.030 1.750 1.608
3.030 1.750 4.062
-1.515 2.624 0.000
-1.515 2.624 5.671
0.000 1.379 8.506
-1.836 4.559 8.506
1.194 0.689 2.835
3.030 0.000 0.000
3.030 0.000 5.671
1.515 2.624 0.000
1.515 2.624 5.671
1.836 4.559 8.506
4.866 0.689 2.835
3.030 3.870 2.835
```

Values from the calculation:
**Energy of formation from the pure elements**: 0.9 kcal/mol of atoms
**SG**: P6_3/mmc (194)
**Polymorph energy (0 for the lowest one)**: 130 meV/atom


The following is a DFT calculation (GGA-PBE) of crystalline NdTm12In6 at its relaxed geometry.

```
NdTm12In6
1.0
6.870 3.967 3.683
-6.870 3.967 3.683
0.000 -7.933 3.683
Nd Tm In
1 12 6
Cartesian
0.000 0.000 0.000
-2.582 -4.472 5.524
-5.164 0.000 5.524
-1.824 -1.053 3.942
1.824 -1.053 3.942
0.000 2.107 3.942
2.582 -4.472 5.524
-2.582 4.472 5.524
0.000 -2.107 7.107
-1.824 1.053 7.107
1.824 1.053 7.107
5.164 0.000 5.524
2.582 4.472 5.524
0.000 -3.633 4.356
-3.146 1.816 4.356
-3.146 -1.816 6.692
3.146 1.816 4.356
3.146 -1.816 6.692
0.000 3.633 6.692
```

Values from the calculation:
**Energy of formation from the pure elements**: -0.9 kcal/mol of atoms
**SG**: R-3m (166)


The following is a DFT calculation (GGA-PBE) of crystalline Sm4Pd3Pt at its relaxed geometry.

```
Sm4Pd3Pt
1.0
3.826 0.000 0.000
0.000 4.611 0.000
0.000 0.000 10.762
Sm Pd Pt
4 3 1
Cartesian
0.000 0.000 0.000
0.000 2.305 2.925
1.913 0.000 5.323
1.913 2.305 8.300
0.000 0.000 7.748
0.000 2.305 5.916
1.913 2.305 0.501
1.913 0.000 2.380
```

Values from the calculation:
**Energy of formation from the pure elements**: -21.7 kcal/mol of atoms
**SG**: Pmm2 (25)


The following is a DFT calculation (GGA-PBE) of crystalline Pu2Tl2Cl7 at its relaxed geometry.

```
Pu2Tl2Cl7
1.0
4.453 -5.251 0.000
4.453 5.251 0.000
0.000 0.000 7.360
Pu Tl Cl
2 2 7
Cartesian
4.453 2.905 0.000
4.453 -2.905 0.000
2.427 0.000 3.680
6.480 0.000 3.680
0.000 0.000 1.691
0.000 0.000 5.669
2.227 2.626 1.758
2.227 2.626 5.602
2.227 -2.626 1.758
2.227 -2.626 5.602
4.453 0.000 0.000
```

Values from the calculation:
**Formation energy (no corrections)**: -1596.6 meV per atom
**SG**: Cmmm (65)
**Polymorph energy (0 for the lowest one)**: 0 meV/atom


The following is a DFT calculation (GGA-PBE) of crystalline BaCr2CoAu at its relaxed geometry.

```
BaCr2CoAu
1.0
5.316 0.000 0.000
0.000 5.316 0.000
0.000 0.000 4.691
Ba Cr Co Au
1 2 1 1
Cartesian
0.000 0.000 0.000
0.000 2.658 0.000
2.658 0.000 0.000
0.000 0.000 2.346
2.658 2.658 2.346
```

Values from the calculation:
**Energy of formation from the pure elements**: 50.6 kcal/mol of atoms
**SG**: P4/mmm (123)


The following is a DFT calculation (GGA-PBE) of crystalline InCuTe2 at its relaxed geometry.

```
InCuTe2
1.0
5.696 0.000 0.000
0.000 5.696 0.000
0.000 0.000 3.166
In Cu Te
1 1 2
Cartesian
0.000 0.000 0.000
2.848 2.848 0.000
0.000 2.848 1.583
2.848 0.000 1.583
```

Values from the calculation:
**Formation energy (no corrections)**: 267.1 meV per atom
**SG**: P4/mmm (123)


The following is a DFT calculation (GGA-PBE) of crystalline BaCoAgCl6 at its relaxed geometry.

```
BaCoAgCl6
1.0
6.737 0.000 0.000
-3.369 5.834 0.000
0.000 0.000 6.311
Ba Co Ag Cl
1 1 1 6
Cartesian
0.000 0.000 0.000
3.369 1.945 3.156
0.000 3.890 3.156
2.508 0.300 4.475
1.514 2.022 1.836
4.229 0.300 1.836
2.374 3.512 4.475
5.223 2.022 4.475
4.363 3.512 1.836
```

Values from the calculation:
**Formation energy (no corrections)**: -1122.5 meV per atom
**SG**: P312 (149)


> Number 6 is which compound?

BaCr2CoAu


Copy entry 4 word for word.
The following is a DFT calculation (GGA-PBE) of crystalline Sm4Pd3Pt at its relaxed geometry.

```
Sm4Pd3Pt
1.0
3.826 0.000 0.000
0.000 4.611 0.000
0.000 0.000 10.762
Sm Pd Pt
4 3 1
Cartesian
0.000 0.000 0.000
0.000 2.305 2.925
1.913 0.000 5.323
1.913 2.305 8.300
0.000 0.000 7.748
0.000 2.305 5.916
1.913 2.305 0.501
1.913 0.000 2.380
```

Values from the calculation:
**Energy of formation from the pure elements**: -21.7 kcal/mol of atoms
**SG**: Pmm2 (25)


What did the second record say?
The following is a DFT calculation (GGA-PBE) of crystalline CaZnCu3 at its relaxed geometry.

```
CaZnCu3
1.0
6.061 0.000 0.000
-3.030 5.249 0.000
0.000 0.000 11.341
Ca Zn Cu
4 4 12
Cartesian
0.000 0.000 0.000
0.000 0.000 5.671
0.000 3.499 2.835
3.030 1.750 8.506
0.000 3.499 7.279
0.000 3.499 9.733
3.030 1.750 1.608
3.030 1.750 4.062
-1.515 2.624 0.000
-1.515 2.624 5.671
0.000 1.379 8.506
-1.836 4.559 8.506
1.194 0.689 2.835
3.030 0.000 0.000
3.030 0.000 5.671
1.515 2.624 0.000
1.515 2.624 5.671
1.836 4.559 8.506
4.866 0.689 2.835
3.030 3.870 2.835
```

Values from the calculation:
**Energy of formation from the pure elements**: 0.9 kcal/mol of atoms
**SG**: P6_3/mmc (194)
**Polymorph energy (0 for the lowest one)**: 130 meV/atom